# 1
Material: GaNiN2
Method: DFT, GGA-PBE
State: optimized geometry

a = 4.3941 Å, b = 4.3941 Å, c = 5.5257 Å
α = 66.57°, β = 66.57°, γ = 90.00°
Atoms (fractional coordinates):
N  0.6117  0.1250  0.2500
N  0.1383  0.6250  0.2500
N  0.3750  0.3883  0.7500
N  0.8750  0.8617  0.7500
Ga  0.7500  0.2500  0.5000
Ga  0.0000  0.0000  0.0000
Ni  0.5000  0.5000  0.0000
Ni  0.2500  0.7500  0.5000

Output
- Space group: I-42d, No. 122
- V: 88.2 Å³/cell
- Magnetization: 0.00 μB/f.u.
- Uncorrected energy: -6.18 eV per atom
- Formation energy without anion corrections: 0.1880 eV/atom

# 2
Material: Ga2NiN3
Method: DFT, GGA-PBE
State: optimized geometry

a = 5.5125 Å, b = 5.5125 Å, c = 5.1928 Å
α = 90.00°, β = 90.00°, γ = 119.67°
Each line ends with the local moment (μB).
Atoms (fractional coordinates):
N  0.6662  0.9944  0.8707  0.10
N  0.3331  0.3331  0.8578  0.06
N  0.3338  0.0056  0.3707  0.10
N  0.9944  0.6662  0.8707  0.10
N  0.6669  0.6669  0.3578  0.06
N  0.0056  0.3338  0.3707  0.10
Ni  0.6482  0.6482  0.0003  0.74
Ni  0.3518  0.3518  0.5003  0.74
Ga  0.9956  0.3307  0.9942  0.02
Ga  0.0044  0.6693  0.4942  0.02
Ga  0.3307  0.9956  0.9942  0.02
Ga  0.6693  0.0044  0.4942  0.02

Output
- Space group: Cmc2_1, No. 36
- V: 137.1 Å³/cell
- Magnetization: 1.18 μB/f.u.
- Uncorrected energy: -6.10 eV per atom
- Formation energy without anion corrections: 0.0383 eV/atom

# 3
Material: Ga2NiOsN
Method: DFT, GGA-PBE
State: optimized geometry

a = 4.2119 Å, b = 3.6049 Å, c = 4.2119 Å
α = 90.00°, β = 90.00°, γ = 90.00°
Atoms (fractional coordinates):
Ga  0.5000  0.0000  0.0000
Ga  0.0000  0.0000  0.5000
Os  0.5000  0.5000  0.5000
Ni  0.0000  0.5000  0.0000
N  0.0000  0.0000  0.0000

Output
- Space group: P4/mmm, No. 123
- V: 64.0 Å³/cell
- Magnetization: 0.00 μB/f.u.
- Uncorrected energy: -5.78 eV per atom
- Formation energy without anion corrections: 0.4983 eV/atom